Record 1
TeW2N2: relaxed, GGA-PBE.

**Uncorrected energy**: -81.93 eV/cell
**Calculated volume**: 70.3 Å³/f.u.
**Total magnetic moment**: 0.00 μB/cell
**Distance to the lowest polymorph of the same formula**: 675 meV per atom
**D(E_F)**: 0.9806 states/eV/atom

abc: 7.088 7.088 2.797
angles: 90.00 90.00 90.00
Atoms (fractional coordinates):
W1 0.626 0.874 0.500
W2 0.126 0.626 0.500
W3 0.874 0.374 0.500
W4 0.374 0.126 0.500
N1 0.885 0.615 0.000
N2 0.115 0.385 0.000
N3 0.615 0.115 0.000
N4 0.385 0.885 0.000
Te1 0.000 0.000 0.000
Te2 0.500 0.500 0.000

---

Record 2
ZnTe2WN: relaxed, GGA-PBE.

**Uncorrected energy**: -27.20 eV/cell
**Calculated volume**: 113.8 Å³/f.u.
**Total magnetic moment**: 0.00 μB/cell
**Distance to the lowest polymorph of the same formula**: 0 meV per atom
**D(E_F)**: 0.5303 states/eV/atom

abc: 5.456 5.456 3.823
angles: 90.00 90.00 90.00
Atoms (fractional coordinates):
W1 0.000 0.000 0.000
Te1 0.000 0.500 0.000
Te2 0.500 0.000 0.000
N1 0.000 0.000 0.500
Zn1 0.500 0.500 0.500

---

Record 3
ZnTe2WN: relaxed, GGA-PBE.

**Uncorrected energy**: -21.74 eV/cell
**Calculated volume**: 104.1 Å³/f.u.
**Total magnetic moment**: 1.15 μB/cell
**Distance to the lowest polymorph of the same formula**: 1092 meV per atom
**D(E_F)**: 1.1847 states/eV/atom

abc: 5.411 5.411 3.556
angles: 90.00 90.00 90.00
Atoms (fractional coordinates):
N1 0.000 0.000 0.500
Zn1 0.000 0.000 0.000
W1 0.500 0.500 0.500
Te1 0.000 0.500 0.000
Te2 0.500 0.000 0.000

---

Record 4
Y4Te3N2: relaxed, GGA-PBE.

**Uncorrected energy**: -64.31 eV/cell
**Calculated volume**: 217.6 Å³/f.u.
**Total magnetic moment**: 0.00 μB/cell
**D(E_F)**: 0.0540 states/eV/atom

abc: 3.633 7.205 8.844
angles: 103.37 90.00 104.60
Atoms (fractional coordinates):
N1 0.299 0.599 0.156
N2 0.701 0.401 0.844
Te1 0.396 0.791 0.589
Te2 0.000 0.000 0.000
Te3 0.604 0.209 0.411
Y1 0.092 0.183 0.699
Y2 0.682 0.364 0.097
Y3 0.908 0.817 0.301
Y4 0.318 0.636 0.903

---

Record 5
Y2TeN: relaxed, GGA-PBE.

**Uncorrected energy**: -29.94 eV/cell
**Calculated volume**: 84.9 Å³/f.u.
**Total magnetic moment**: 0.00 μB/cell
**Distance to the lowest polymorph of the same formula**: 0 meV per atom
**D(E_F)**: 0.4967 states/eV/atom

abc: 3.763 3.763 7.255
angles: 74.97 74.97 60.00
Atoms (fractional coordinates):
Y1 0.272 0.272 0.184
Y2 0.728 0.728 0.816
Te1 0.500 0.500 0.500
N1 0.000 0.000 0.000

---

Record 6
YTe2N2: relaxed, GGA-PBE.

**Uncorrected energy**: -25.27 eV/cell
**Calculated volume**: 126.2 Å³/f.u.
**Total magnetic moment**: 0.12 μB/cell
**Distance to the lowest polymorph of the same formula**: 70 meV per atom
**D(E_F)**: 1.1656 states/eV/atom

abc: 4.371 4.371 6.608
angles: 90.00 90.00 90.00
Atoms (fractional coordinates):
Te1 0.000 0.000 0.500
Te2 0.500 0.500 0.500
N1 0.500 0.000 0.000
N2 0.000 0.500 0.000
Y1 0.000 0.000 0.000

---

Record 7
YTe3N: relaxed, GGA-PBE.

**Uncorrected energy**: -20.19 eV/cell
**Calculated volume**: 203.1 Å³/f.u.
**Total magnetic moment**: 1.39 μB/cell
**Distance to the lowest polymorph of the same formula**: 821 meV per atom
**D(E_F)**: 1.3645 states/eV/atom

abc: 5.878 5.878 5.878
angles: 90.00 90.00 90.00
Atoms (fractional coordinates):
Y1 0.000 0.000 0.000
Te1 0.000 0.500 0.000
Te2 0.000 0.000 0.500
Te3 0.500 0.000 0.000
N1 0.500 0.500 0.500

---

Record 8
Y2Te2N: relaxed, GGA-PBE.

**Uncorrected energy**: -56.09 eV/cell
**Calculated volume**: 132.3 Å³/f.u.
**Total magnetic moment**: 2.62 μB/cell
**Distance to the lowest polymorph of the same formula**: 0 meV per atom
**D(E_F)**: 0.5841 states/eV/atom

abc: 8.212 8.212 3.923
angles: 90.00 90.00 90.00
Atoms (fractional coordinates):
N1 0.500 0.500 0.000
N2 0.000 0.000 0.000
Y1 0.346 0.154 0.500
Y2 0.846 0.346 0.500
Y3 0.154 0.654 0.500
Y4 0.654 0.846 0.500
Te1 0.147 0.353 0.000
Te2 0.647 0.147 0.000
Te3 0.853 0.647 0.000
Te4 0.353 0.853 0.000

---

Record 9
Y5Te5N2: relaxed, GGA-PBE.

**Uncorrected energy**: -80.83 eV/cell
**Calculated volume**: 321.8 Å³/f.u.
**Total magnetic moment**: 0.00 μB/cell
**D(E_F)**: 0.2439 states/eV/atom

abc: 4.034 7.853 10.522
angles: 92.50 90.00 104.88
Atoms (fractional coordinates):
Y1 0.607 0.214 0.763
Y2 0.393 0.786 0.237
Y3 0.904 0.807 0.688
Y4 0.000 0.000 0.000
Y5 0.096 0.193 0.312
Te1 0.646 0.293 0.069
Te2 0.500 0.000 0.500
Te3 0.243 0.486 0.632
Te4 0.354 0.707 0.931
Te5 0.757 0.514 0.368
N1 0.035 0.070 0.789
N2 0.965 0.930 0.211

---

Record 10
YTeN2: relaxed, GGA-PBE.

**Uncorrected energy**: -27.25 eV/cell
**Calculated volume**: 72.0 Å³/f.u.
**Total magnetic moment**: 0.00 μB/cell
**D(E_F)**: 0.3875 states/eV/atom

abc: 6.843 6.843 6.843
angles: 30.22 30.22 30.22
Atoms (fractional coordinates):
N1 0.895 0.895 0.895
N2 0.105 0.105 0.105
Te1 0.000 0.000 0.000
Y1 0.500 0.500 0.500

---

Record 11
Y2TeN: relaxed, GGA-PBE.

**Uncorrected energy**: -119.37 eV/cell
**Calculated volume**: 94.1 Å³/f.u.
**Total magnetic moment**: 0.00 μB/cell
**Distance to the lowest polymorph of the same formula**: 24 meV per atom
**D(E_F)**: 0.4269 states/eV/atom

abc: 6.716 6.959 8.056
angles: 90.00 88.09 90.00
Atoms (fractional coordinates):
Te1 0.294 0.899 0.874
Te2 0.794 0.601 0.874
Te3 0.706 0.101 0.126
Te4 0.206 0.399 0.126
Y1 0.139 0.666 0.584
Y2 0.453 0.322 0.785
Y3 0.361 0.166 0.416
Y4 0.861 0.334 0.416
Y5 0.953 0.178 0.785
Y6 0.047 0.822 0.215
Y7 0.639 0.834 0.584
Y8 0.547 0.678 0.215
N1 0.656 0.166 0.606
N2 0.156 0.334 0.606
N3 0.844 0.666 0.394
N4 0.344 0.834 0.394

---

Record 12
YTe2N2: relaxed, GGA-PBE.

**Uncorrected energy**: -22.71 eV/cell
**Calculated volume**: 160.6 Å³/f.u.
**Total magnetic moment**: 3.31 μB/cell
**Distance to the lowest polymorph of the same formula**: 582 meV per atom
**D(E_F)**: 0.9699 states/eV/atom

abc: 6.055 6.055 4.380
angles: 90.00 90.00 90.00
Atoms (fractional coordinates):
Te1 0.500 0.000 0.000
Te2 0.000 0.500 0.000
Y1 0.000 0.000 0.000
N1 0.000 0.000 0.500
N2 0.500 0.500 0.500